Record 1
Density functional theory data (GGA-PBE) for crystalline PmGdGaPb at its relaxed geometry.

## Properties
The calculation puts the uncorrected energy at -27.43 eV/cell. Its formation energy is -465 meV per atom.

abc: 5.3557 5.3557 5.3557
angles: 60.00 60.00 60.00
Positions (direct):
Pm (0.0000, 0.0000, 0.0000)
Gd (0.5000, 0.5000, 0.5000)
Ga (0.2500, 0.2500, 0.2500)
Pb (0.7500, 0.7500, 0.7500)

---

Record 2
Density functional theory data (GGA-PBE) for crystalline PrGdGaPb at its relaxed geometry.

## Properties
The calculation puts the uncorrected energy at -27.44 eV/cell. Its formation energy is -461 meV per atom.

abc: 5.3949 5.3949 5.3949
angles: 60.00 60.00 60.00
Positions (direct):
Pr (0.0000, 0.0000, 0.0000)
Gd (0.5000, 0.5000, 0.5000)
Ga (0.2500, 0.2500, 0.2500)
Pb (0.7500, 0.7500, 0.7500)

---

Record 3
Density functional theory data (GGA-PBE) for crystalline SmGdGaPb at its relaxed geometry.

## Properties
The calculation puts the uncorrected energy at -27.38 eV/cell. Its formation energy is -462 meV per atom.

abc: 5.3437 5.3437 5.3437
angles: 60.00 60.00 60.00
Positions (direct):
Sm (0.0000, 0.0000, 0.0000)
Gd (0.5000, 0.5000, 0.5000)
Ga (0.7500, 0.7500, 0.7500)
Pb (0.2500, 0.2500, 0.2500)

---

Record 4
Density functional theory data (GGA-PBE) for crystalline GdThGaPb at its relaxed geometry.

## Properties
The calculation puts the uncorrected energy at -29.52 eV/cell. Its formation energy is -322 meV per atom.

abc: 5.3794 5.3794 5.3794
angles: 60.00 60.00 60.00
Positions (direct):
Gd (0.0000, 0.0000, 0.0000)
Th (0.5000, 0.5000, 0.5000)
Ga (0.7500, 0.7500, 0.7500)
Pb (0.2500, 0.2500, 0.2500)

---

Record 5
Density functional theory data (GGA-PBE) for crystalline Gd2GaPd at its relaxed geometry.

## Properties
The calculation puts the uncorrected energy at -39.21 eV/cell. Its formation energy is -707 meV per atom.

abc: 3.5361 3.5361 7.3641
angles: 90.00 90.00 90.00
Positions (direct):
Gd (0.0000, 0.0000, 0.2409)
Gd (0.0000, 0.0000, 0.7591)
Ga (0.5000, 0.5000, 0.5000)
Pd (0.5000, 0.5000, 0.0000)

---

Record 6
Density functional theory data (GGA-PBE) for crystalline GdGaPd2 at its relaxed geometry.

## Properties
The calculation puts the uncorrected energy at -30.13 eV/cell. Its formation energy is -660 meV per atom.

abc: 4.5020 4.5020 3.7187
angles: 90.00 90.00 90.00
Positions (direct):
Gd (0.0000, 0.0000, 0.0000)
Ga (0.5000, 0.5000, 0.0000)
Pd (0.0000, 0.5000, 0.5000)
Pd (0.5000, 0.0000, 0.5000)

---

Record 7
Density functional theory data (GGA-PBE) for crystalline GdGaPd at its relaxed geometry.

## Properties
The calculation puts the uncorrected energy at -24.34 eV/cell. Its formation energy is -681 meV per atom.

abc: 5.6668 5.6668 5.6668
angles: 144.74 144.74 50.72
Positions (direct):
Gd (0.0000, 0.0000, 0.0000)
Ga (0.3070, 0.3070, 0.0000)
Pd (0.6964, 0.6964, 0.0000)

---

Record 8
Density functional theory data (GGA-PBE) for crystalline Gd2GaPd at its relaxed geometry.

## Properties
The calculation puts the uncorrected energy at -38.45 eV/cell. Its formation energy is -517 meV per atom.

abc: 8.2600 8.2600 8.2600
angles: 27.05 27.05 27.05
Positions (direct):
Gd (0.2441, 0.2441, 0.2441)
Gd (0.7559, 0.7559, 0.7559)
Ga (0.0000, 0.0000, 0.0000)
Pd (0.5000, 0.5000, 0.5000)

---

Record 9
Density functional theory data (GGA-PBE) for crystalline GdGaPd2 at its relaxed geometry.

## Properties
The calculation puts the uncorrected energy at -30.80 eV/cell. Its formation energy is -826 meV per atom.

abc: 5.2477 5.2477 5.2477
angles: 49.95 49.95 49.95
Positions (direct):
Gd (0.0000, 0.0000, 0.0000)
Ga (0.5000, 0.5000, 0.5000)
Pd (0.2149, 0.2149, 0.2149)
Pd (0.7851, 0.7851, 0.7851)

---

Record 10
Density functional theory data (GGA-PBE) for crystalline GdGaPd2 at its relaxed geometry.

## Properties
The calculation puts the uncorrected energy at -123.99 eV/cell. Its formation energy is -876 meV per atom.

abc: 7.4335 7.1713 5.6660
angles: 90.00 90.00 90.00
Positions (direct):
Gd (0.0302, 0.2500, 0.1441)
Gd (0.4698, 0.7500, 0.6441)
Gd (0.5302, 0.2500, 0.3559)
Gd (0.9698, 0.7500, 0.8559)
Ga (0.1161, 0.7500, 0.3565)
Ga (0.3839, 0.2500, 0.8565)
Ga (0.6161, 0.7500, 0.1435)
Ga (0.8839, 0.2500, 0.6435)
Pd (0.1820, 0.0517, 0.5892)
Pd (0.1820, 0.4483, 0.5892)
Pd (0.3180, 0.5517, 0.0892)
Pd (0.3180, 0.9483, 0.0892)
Pd (0.6820, 0.0517, 0.9108)
Pd (0.6820, 0.4483, 0.9108)
Pd (0.8180, 0.5517, 0.4108)
Pd (0.8180, 0.9483, 0.4108)

---

Record 11
Density functional theory data (GGA-PBE) for crystalline Gd4Ga12Pd at its relaxed geometry.

## Properties
The calculation puts the uncorrected energy at -108.32 eV/cell. Its formation energy is -617 meV per atom.

abc: 7.5157 7.5157 7.5157
angles: 109.47 109.47 109.47
Positions (direct):
Gd (0.0000, 0.0000, 0.5000)
Gd (0.0000, 0.5000, 0.0000)
Gd (0.5000, 0.0000, 0.0000)
Gd (0.5000, 0.5000, 0.5000)
Ga (0.0000, 0.2966, 0.2966)
Ga (0.0000, 0.7034, 0.7034)
Ga (0.2500, 0.5000, 0.7500)
Ga (0.2500, 0.7500, 0.5000)
Ga (0.2966, 0.0000, 0.2966)
Ga (0.2966, 0.2966, 0.0000)
Ga (0.5000, 0.2500, 0.7500)
Ga (0.5000, 0.7500, 0.2500)
Ga (0.7034, 0.0000, 0.7034)
Ga (0.7034, 0.7034, 0.0000)
Ga (0.7500, 0.2500, 0.5000)
Ga (0.7500, 0.5000, 0.2500)
Pd (0.0000, 0.0000, 0.0000)

---

Record 12
Density functional theory data (GGA-PBE) for crystalline GdGaPd at its relaxed geometry.

## Properties
The calculation puts the uncorrected energy at -24.24 eV/cell. Its formation energy is -648 meV per atom.

abc: 4.6126 4.6126 4.6126
angles: 60.00 60.00 60.00
Positions (direct):
Gd (0.0000, 0.0000, 0.0000)
Ga (0.5000, 0.5000, 0.5000)
Pd (0.7500, 0.7500, 0.7500)